(1)
## MgZn2Sb (GGA-PBE)

Data for a geometry-optimized MgZn2Sb structure.

Cell lengths 6.908, 6.908, 6.908 Å; angles 90.00, 90.00, 90.00 degrees
Sites, in units of the cell vectors:
Mg 0.000 0.000 0.000
Mg 0.000 0.500 0.500
Mg 0.500 0.000 0.500
Mg 0.500 0.500 0.000
Zn 0.000 0.000 0.500
Zn 0.000 0.500 0.000
Zn 0.250 0.250 0.250
Zn 0.250 0.750 0.750
Zn 0.500 0.000 0.000
Zn 0.500 0.500 0.500
Zn 0.750 0.250 0.750
Zn 0.750 0.750 0.250
Sb 0.250 0.250 0.750
Sb 0.250 0.750 0.250
Sb 0.750 0.250 0.250
Sb 0.750 0.750 0.750

The calculated total energy is -1.984 eV per atom. Its space-group type is F-43m, No. 216.



(2)
## NpMoAs (GGA-PBE)

Data for a geometry-optimized NpMoAs structure.

Cell lengths 6.295, 6.295, 6.295 Å; angles 90.00, 90.00, 90.00 degrees
Sites, in units of the cell vectors:
Np 0.000 0.000 0.000
Np 0.000 0.500 0.500
Np 0.500 0.000 0.500
Np 0.500 0.500 0.000
Mo 0.250 0.250 0.750
Mo 0.250 0.750 0.250
Mo 0.750 0.250 0.250
Mo 0.750 0.750 0.750
As 0.000 0.000 0.500
As 0.000 0.500 0.000
As 0.500 0.000 0.000
As 0.500 0.500 0.500

The calculated total energy is -9.182 eV per atom. Its space-group type is F-43m, No. 216.



(3)
## Tb2HoHg3PdAu2 (GGA-PBE)

Data for a geometry-optimized Tb2HoHg3PdAu2 structure.

Cell lengths 3.756, 7.894, 7.894 Å; angles 119.92, 90.00, 90.00 degrees
Sites, in units of the cell vectors:
Tb 0.000 0.196 0.804
Tb 0.000 0.804 0.196
Ho 0.000 0.412 0.412
Hg 0.500 0.071 0.071
Hg 0.500 0.537 0.804
Hg 0.500 0.804 0.537
Pd 0.000 0.803 0.803
Au 0.500 0.138 0.470
Au 0.500 0.470 0.138

The calculation puts the formation enthalpy at 0 K at -6.07 eV per formula unit. Its space-group type is Amm2, No. 38.



(4)
## NbSi2N (GGA-PBE)

Data for a geometry-optimized NbSi2N structure.

Cell lengths 2.834, 2.834, 13.914 Å; angles 90.00, 90.00, 120.00 degrees
Sites, in units of the cell vectors:
Nb 0.333 0.667 0.250
Nb 0.667 0.333 0.750
Si 0.333 0.667 0.595
Si 0.333 0.667 0.905
Si 0.667 0.333 0.095
Si 0.667 0.333 0.405
N 0.000 0.000 0.000
N 0.000 0.000 0.500

The calculated total energy is -7.303 eV per atom. Its space-group type is P6_3/mmc, No. 194.



(5)
## Cs2PaO4 (GGA-PBE)

Data for a geometry-optimized Cs2PaO4 structure.

Cell lengths 4.494, 4.494, 14.839 Å; angles 90.00, 90.00, 90.00 degrees
Sites, in units of the cell vectors:
Cs 0.000 0.000 0.156
Cs 0.000 0.000 0.844
Cs 0.500 0.500 0.344
Cs 0.500 0.500 0.656
Pa 0.000 0.000 0.500
Pa 0.500 0.500 0.000
O 0.000 0.000 0.361
O 0.000 0.000 0.639
O 0.000 0.500 0.000
O 0.000 0.500 0.500
O 0.500 0.000 0.000
O 0.500 0.000 0.500
O 0.500 0.500 0.139
O 0.500 0.500 0.861

The calculated total energy is -6.555 eV per atom. Its space-group type is I4/mmm, No. 139.



(6)
## HfInFeAg (GGA-PBE)

Data for a geometry-optimized HfInFeAg structure.

Cell lengths 6.553, 6.553, 6.553 Å; angles 90.00, 90.00, 90.00 degrees
Sites, in units of the cell vectors:
Hf 0.000 0.000 0.000
Hf 0.000 0.500 0.500
Hf 0.500 0.000 0.500
Hf 0.500 0.500 0.000
In 0.250 0.250 0.250
In 0.250 0.750 0.750
In 0.750 0.250 0.750
In 0.750 0.750 0.250
Fe 0.000 0.000 0.500
Fe 0.000 0.500 0.000
Fe 0.500 0.000 0.000
Fe 0.500 0.500 0.500
Ag 0.250 0.250 0.750
Ag 0.250 0.750 0.250
Ag 0.750 0.250 0.250
Ag 0.750 0.750 0.750

The calculated total energy is -5.747 eV per atom. Its space-group type is F-43m, No. 216.